Material: MnMo2Pt
Method: DFT, GGA-PBE
State: optimized geometry

## Properties
VASP energy ... -0.6788 Ry per atom
Energy relative to the lowest polymorph listed for this composition ... 0.1012 eV per atom
Crystal system ... tetragonal
Size of the total moment ... 1.51 μB/f.u.
Energy of formation ... -7 kJ/mol of formula units

Cell: 4.7467 4.7467 4.7467 Å, 131.22 131.22 71.47°
Last column: magnetic moment on the atom in μB.
Atoms (fractional coordinates):
Mn (0.7500, 0.2500, 0.5000)  2.06
Mo (0.0000, 0.0000, 0.0000)  -0.30
Mo (0.2500, 0.7500, 0.5000)  -0.19
Pt (0.5000, 0.5000, 0.0000)  -0.09

Material: Rb3CaNp2S6
Method: DFT, GGA-PBE
State: optimized geometry

## Properties
VASP energy ... -0.4502 Ry per atom
Crystal system ... monoclinic
Size of the total moment ... 7.00 μB/f.u.
Raw formation energy ... -1.50 eV per atom

Cell: 7.1584 7.1584 8.0181 Å, 98.55 98.55 120.00°
Last column: magnetic moment on the atom in μB.
Atoms (fractional coordinates):
Rb (0.1627, 0.8373, 0.5000)  0.00
Rb (0.8373, 0.1627, 0.5000)  0.00
Rb (0.5000, 0.5000, 0.5000)  0.00
Ca (0.0000, 0.0000, 0.0000)  0.00
Np (0.3330, 0.6670, 0.0000)  3.61
Np (0.6670, 0.3330, 0.0000)  3.61
S (0.9361, 0.5882, 0.8086)  -0.07
S (0.7159, 0.7159, 0.1901)  -0.07
S (0.0639, 0.4118, 0.1914)  -0.07
S (0.5882, 0.9361, 0.8086)  -0.07
S (0.2841, 0.2841, 0.8099)  -0.07
S (0.4118, 0.0639, 0.1914)  -0.07